[1]
A relaxed structure of NaNbCd, computed with PBE.

## Properties
excess energy over the best structure of this formula in the dataset	310	meV/atom
total energy	-0.2716	Ry per atom
energy of formation from the pure elements	1.220	eV per formula unit

```
data_NaNbCd
_chemical_formula_sum 'Na4 Nb4 Cd4'
_cell_length_a 6.412
_cell_length_b 8.556
_cell_length_c 4.769
_cell_angle_alpha 90.00
_cell_angle_beta 90.00
_cell_angle_gamma 90.00
_symmetry_space_group_name_H-M 'I m a 2'
_symmetry_Int_Tables_number 46
loop_
_symmetry_equiv_pos_as_xyz
'x,y,z'
'-x,-y,z'
'-x+1/2,y,z'
'x+1/2,-y,z'
'x+1/2,y+1/2,z+1/2'
'-x+1/2,-y+1/2,z+1/2'
'-x,y+1/2,z+1/2'
'x,-y+1/2,z+1/2'
loop_
_atom_site_label
_atom_site_type_symbol
_atom_site_fract_x
_atom_site_fract_y
_atom_site_fract_z
Na1 Na 0.250 0.159 0.000
Nb1 Nb 0.250 0.706 0.506
Cd1 Cd 0.000 0.000 0.501
```


[2]
A relaxed structure of NaNbCd2, computed with PBE.

## Properties
total energy	-0.1895	Ry per atom
energy of formation from the pure elements	2.907	eV per formula unit

```
data_NaNbCd2
_chemical_formula_sum 'Na4 Nb4 Cd8'
_cell_length_a 7.842
_cell_length_b 7.842
_cell_length_c 6.176
_cell_angle_alpha 90.00
_cell_angle_beta 90.00
_cell_angle_gamma 90.00
_symmetry_space_group_name_H-M 'I -4 2 d'
_symmetry_Int_Tables_number 122
_symmetry_space_group_name_Hall 'I -4 2bw'
loop_
_atom_site_label
_atom_site_type_symbol
_atom_site_fract_x
_atom_site_fract_y
_atom_site_fract_z
Na1 Na 0.000 0.000 0.000
Nb1 Nb 0.000 0.000 0.500
Cd1 Cd 0.246 0.250 0.625
```


[3]
A relaxed structure of NaNbCd, computed with PBE.

## Properties
excess energy over the best structure of this formula in the dataset	379	meV/atom
total energy	-0.2665	Ry per atom
energy of formation from the pure elements	1.426	eV per formula unit

```
data_NaNbCd
_chemical_formula_sum 'Na4 Nb4 Cd4'
_cell_length_a 6.166
_cell_length_b 4.292
_cell_length_c 9.879
_cell_angle_alpha 90.00
_cell_angle_beta 90.00
_cell_angle_gamma 90.00
_symmetry_space_group_name_H-M 'P n m a'
_symmetry_Int_Tables_number 62
loop_
_symmetry_equiv_pos_as_xyz
'x,y,z'
'-x,-y,-z'
'-x+1/2,-y,z+1/2'
'x+1/2,y,-z+1/2'
'x+1/2,-y+1/2,-z+1/2'
'-x+1/2,y+1/2,z+1/2'
'-x,y+1/2,-z'
'x,-y+1/2,z'
loop_
_atom_site_label
_atom_site_type_symbol
_atom_site_fract_x
_atom_site_fract_y
_atom_site_fract_z
Na1 Na 0.166 0.250 0.234
Nb1 Nb 0.077 0.250 0.557
Cd1 Cd 0.106 0.250 0.915
```


[4]
A relaxed structure of NaNbCd, computed with PBE.

## Properties
excess energy over the best structure of this formula in the dataset	169	meV/atom
total energy	-0.2819	Ry per atom
energy of formation from the pure elements	0.796	eV per formula unit

```
data_NaNbCd
_chemical_formula_sum 'Na4 Nb4 Cd4'
_cell_length_a 8.759
_cell_length_b 2.738
_cell_length_c 10.902
_cell_angle_alpha 90.00
_cell_angle_beta 90.00
_cell_angle_gamma 90.00
_symmetry_space_group_name_H-M 'P n m a'
_symmetry_Int_Tables_number 62
loop_
_symmetry_equiv_pos_as_xyz
'x,y,z'
'-x,-y,-z'
'-x+1/2,-y,z+1/2'
'x+1/2,y,-z+1/2'
'x+1/2,-y+1/2,-z+1/2'
'-x+1/2,y+1/2,z+1/2'
'-x,y+1/2,-z'
'x,-y+1/2,z'
loop_
_atom_site_label
_atom_site_type_symbol
_atom_site_fract_x
_atom_site_fract_y
_atom_site_fract_z
Na1 Na 0.171 0.250 0.084
Nb1 Nb 0.055 0.250 0.392
Cd1 Cd 0.149 0.250 0.800
```


[5]
A relaxed structure of NaNbCd2Ni, computed with PBE.

## Properties
total energy	-0.1578	Ry per atom
energy of formation from the pure elements	8.266	eV per formula unit

```
data_NaNbCd2Ni
_chemical_formula_sum 'Na1 Nb1 Cd2 Ni1'
_cell_length_a 4.827
_cell_length_b 4.827
_cell_length_c 5.096
_cell_angle_alpha 90.00
_cell_angle_beta 90.00
_cell_angle_gamma 90.00
_symmetry_space_group_name_H-M 'P 4/m m m'
_symmetry_Int_Tables_number 123
_symmetry_space_group_name_Hall '-P 4 2'
loop_
_atom_site_label
_atom_site_type_symbol
_atom_site_fract_x
_atom_site_fract_y
_atom_site_fract_z
Na1 Na 0.000 0.000 0.000
Nb1 Nb 0.000 0.000 0.500
Cd1 Cd 0.000 0.500 0.000
Ni1 Ni 0.500 0.500 0.500
```


[6]
A relaxed structure of Na3NbCd2O6, computed with PBE.

## Properties
energy relative to the elements, uncorrected	-1736	meV per atom
total energy	-0.4069	Ry per atom

```
data_Na3NbCd2O6
_chemical_formula_sum 'Na6 Nb2 Cd4 O12'
_cell_length_a 5.762
_cell_length_b 9.918
_cell_length_c 5.857
_cell_angle_alpha 90.00
_cell_angle_beta 109.80
_cell_angle_gamma 90.00
_symmetry_space_group_name_H-M 'C 1 2/m 1'
_symmetry_Int_Tables_number 12
loop_
_symmetry_equiv_pos_as_xyz
'x,y,z'
'-x,-y,-z'
'-x,y,-z'
'x,-y,z'
'x+1/2,y+1/2,z'
'-x+1/2,-y+1/2,-z'
'-x+1/2,y+1/2,-z'
'x+1/2,-y+1/2,z'
loop_
_atom_site_label
_atom_site_type_symbol
_atom_site_fract_x
_atom_site_fract_y
_atom_site_fract_z
Na1 Na 0.000 0.000 0.000
Na2 Na 0.000 0.331 0.000
Nb1 Nb 0.000 0.500 0.500
Cd1 Cd 0.000 0.167 0.500
O1 O 0.218 0.353 0.719
O2 O 0.220 0.500 0.290
```


[7]
A relaxed structure of Na2NbCdO4, computed with PBE.

## Properties
energy relative to the elements, uncorrected	-1823	meV per atom
total energy	-0.4414	Ry per atom

```
data_Na2NbCdO4
_chemical_formula_sum 'Na4 Nb2 Cd2 O8'
_cell_length_a 5.177
_cell_length_b 5.177
_cell_length_c 10.394
_cell_angle_alpha 90.00
_cell_angle_beta 90.00
_cell_angle_gamma 90.00
_symmetry_space_group_name_H-M 'I -4'
_symmetry_Int_Tables_number 82
loop_
_symmetry_equiv_pos_as_xyz
'x,y,z'
'y,-x,-z'
'-x,-y,z'
'-y,x,-z'
'x+1/2,y+1/2,z+1/2'
'y+1/2,-x+1/2,-z+1/2'
'-x+1/2,-y+1/2,z+1/2'
'-y+1/2,x+1/2,-z+1/2'
loop_
_atom_site_label
_atom_site_type_symbol
_atom_site_fract_x
_atom_site_fract_y
_atom_site_fract_z
Na1 Na 0.000 0.000 0.000
Na2 Na 0.000 0.500 0.250
Nb1 Nb 0.000 0.500 0.750
Cd1 Cd 0.000 0.000 0.500
O1 O 0.204 0.716 0.856
```


[8]
A relaxed structure of Na2NbCdS4, computed with PBE.

## Properties
energy relative to the elements, uncorrected	-867	meV per atom
total energy	-0.3405	Ry per atom

```
data_Na2NbCdS4
_chemical_formula_sum 'Na4 Nb2 Cd2 S8'
_cell_length_a 6.249
_cell_length_b 6.249
_cell_length_c 11.312
_cell_angle_alpha 90.00
_cell_angle_beta 90.00
_cell_angle_gamma 90.00
_symmetry_space_group_name_H-M 'I -4'
_symmetry_Int_Tables_number 82
loop_
_symmetry_equiv_pos_as_xyz
'x,y,z'
'y,-x,-z'
'-x,-y,z'
'-y,x,-z'
'x+1/2,y+1/2,z+1/2'
'y+1/2,-x+1/2,-z+1/2'
'-x+1/2,-y+1/2,z+1/2'
'-y+1/2,x+1/2,-z+1/2'
loop_
_atom_site_label
_atom_site_type_symbol
_atom_site_fract_x
_atom_site_fract_y
_atom_site_fract_z
Na1 Na 0.000 0.000 0.000
Na2 Na 0.000 0.500 0.250
Nb1 Nb 0.000 0.500 0.750
Cd1 Cd 0.000 0.000 0.500
S1 S 0.205 0.730 0.632
```


[9]
A relaxed structure of NaNb2CdSb, computed with PBE.

## Properties
energy relative to the elements, uncorrected	1324	meV per atom
total energy	-0.2922	Ry per atom

```
data_NaNb2CdSb
_chemical_formula_sum 'Na1 Nb2 Cd1 Sb1'
_cell_length_a 5.174
_cell_length_b 5.174
_cell_length_c 4.935
_cell_angle_alpha 90.00
_cell_angle_beta 90.00
_cell_angle_gamma 90.00
_symmetry_space_group_name_H-M 'P 4/m m m'
_symmetry_Int_Tables_number 123
_symmetry_space_group_name_Hall '-P 4 2'
loop_
_atom_site_label
_atom_site_type_symbol
_atom_site_fract_x
_atom_site_fract_y
_atom_site_fract_z
Na1 Na 0.000 0.000 0.000
Nb1 Nb 0.000 0.500 0.500
Cd1 Cd 0.000 0.000 0.500
Sb1 Sb 0.500 0.500 0.000
```


[10]
A relaxed structure of Na2YNbCd, computed with PBE.

## Properties
total energy	-0.2293	Ry per atom
energy of formation from the pure elements	4.489	eV per formula unit

```
data_Na2YNbCd
_chemical_formula_sum 'Na2 Y1 Nb1 Cd1'
_cell_length_a 5.181
_cell_length_b 5.181
_cell_length_c 5.605
_cell_angle_alpha 90.00
_cell_angle_beta 90.00
_cell_angle_gamma 90.00
_symmetry_space_group_name_H-M 'P 4/m m m'
_symmetry_Int_Tables_number 123
_symmetry_space_group_name_Hall '-P 4 2'
loop_
_atom_site_label
_atom_site_type_symbol
_atom_site_fract_x
_atom_site_fract_y
_atom_site_fract_z
Na1 Na 0.000 0.500 0.000
Y1 Y 0.000 0.000 0.500
Nb1 Nb 0.500 0.500 0.500
Cd1 Cd 0.500 0.500 0.000
```


[11]
A relaxed structure of Na2NdCd4, computed with PBE.

## Properties
total energy	-0.1310	Ry per atom
energy of formation from the pure elements	-1.414	eV per formula unit

```
data_Na2NdCd4
_chemical_formula_sum 'Na6 Nd3 Cd12'
_cell_length_a 5.0804
_cell_length_b 5.0804
_cell_length_c 24.7756
_cell_angle_alpha 90.00
_cell_angle_beta 90.00
_cell_angle_gamma 120.00
_symmetry_space_group_name_H-M 'R -3 m'
_symmetry_Int_Tables_number 166
_symmetry_space_group_name_Hall '-R 3 2"'
loop_
_atom_site_label
_atom_site_type_symbol
_atom_site_fract_x
_atom_site_fract_y
_atom_site_fract_z
Na1 Na 0.0000 0.0000 0.1385
Nd1 Nd 0.0000 0.0000 0.0000
Cd1 Cd 0.0000 0.0000 0.2698
Cd2 Cd 0.0000 0.0000 0.4027
```


[12]
A relaxed structure of NaNdCd, computed with PBE.

## Properties
excess energy over the best structure of this formula in the dataset	67	meV/atom
total energy	-0.1736	Ry per atom
energy of formation from the pure elements	-0.083	eV per formula unit

```
data_NaNdCd
_chemical_formula_sum 'Na2 Nd2 Cd2'
_cell_length_a 3.509
_cell_length_b 3.509
_cell_length_c 14.898
_cell_angle_alpha 90.00
_cell_angle_beta 90.00
_cell_angle_gamma 90.00
_symmetry_space_group_name_H-M 'I 4 m m'
_symmetry_Int_Tables_number 107
_symmetry_space_group_name_Hall 'I 4 -2'
loop_
_atom_site_label
_atom_site_type_symbol
_atom_site_fract_x
_atom_site_fract_y
_atom_site_fract_z
Na1 Na 0.000 0.000 0.000
Nd1 Nd 0.000 0.000 0.706
Cd1 Cd 0.000 0.000 0.349
```